Record 1
Here is a relaxed SrMo2Ir crystal from Alexandria. Energies are from PBE-GGA.

a = 2.8226 Å, b = 2.8226 Å, c = 9.4741 Å
α = 90.00°, β = 90.00°, γ = 90.00°
Closest atoms and distances in Å follow each position.
Space group P4/mmm (No. 123)
One atom of each set of equivalent atoms:
Sr1 0.0000 0.0000 0.0000 (multiplicity 1)  4 Sr 2.82
Mo1 0.5000 0.5000 0.2987 (multiplicity 2)  4 Ir 2.76, 4 Mo 2.82
Ir1 0.0000 0.0000 0.5000 (multiplicity 1)  8 Mo 2.76, 4 Ir 2.82

energy of formation from the pure elements = 0.605 eV/atom
final energy = -29.78 eV/cell
offset from the most stable computed form = 0.214 eV/atom

=====

Record 2
Here is a relaxed Sr2ZnMoIr crystal from Alexandria. Energies are from PBE-GGA.

a = 5.8713 Å, b = 5.8713 Å, c = 4.6684 Å
α = 90.00°, β = 90.00°, γ = 90.00°
Closest atoms and distances in Å follow each position.
Space group P4/mmm (No. 123)
One atom of each set of equivalent atoms:
Sr1 0.0000 0.5000 0.0000 (multiplicity 2)  2 Mo 2.94
Zn1 0.0000 0.0000 0.5000 (multiplicity 1)  8 Sr 3.75, 4 Ir 4.15
Mo1 0.5000 0.5000 0.0000 (multiplicity 1)  2 Ir 2.33
Ir1 0.5000 0.5000 0.5000 (multiplicity 1)  2 Mo 2.33

energy of formation from the pure elements = 0.771 eV/atom
final energy = -20.48 eV/cell